Below is an optimized crystal structure of Mn2GeSe, with properties calculated at the PBE level.

Cell: 6.4783 6.4783 8.2025 Å, 90.00 90.00 90.00°
Last column: nearest neighbours and their distance in Å.
Space group I-42d (No. 122)
Inequivalent atoms, fractional coordinates:
Mn  0.2480  0.2500  0.1250  2 Ge 2.50, 2 Se 2.52
Ge  0.0000  0.0000  0.0000  4 Mn 2.50
Se  0.0000  0.0000  0.5000  4 Mn 2.52

Values from the calculation:
N(E_F): 1.7 states/eV/cell
Calculated total energy: -6.457 eV per atom
Total moment: 32.118 Bohr magnetons per cell

---

Below is an optimized crystal structure of Y6SbS4, with properties calculated at the PBE level.

Cell: 4.0025 12.8890 20.0490 Å, 90.00 90.00 90.00°
Last column: nearest neighbours and their distance in Å.
Space group Cmcm (No. 63)
Inequivalent atoms, fractional coordinates:
Y  0.0000  0.0000  0.0000  6 S 2.72-2.80
Y  0.0000  0.1552  0.2500  2 S 2.69
Y  0.0000  0.2717  0.5883  5 S 2.76-2.81
Y  0.0000  0.4564  0.1589  3 S 2.72-2.75
Sb  0.0000  0.1655  0.7500  6 Y 3.06-3.13
S  0.0000  0.0912  0.1224  6 Y 2.69-2.76
S  0.0000  0.3602  0.0379  6 Y 2.72-2.81

Values from the calculation:
N(E_F): 31.4 states/eV/cell
Calculated total energy: -7.086 eV per atom
Total moment: 0.000 Bohr magnetons per cell

---

Below is an optimized crystal structure of Cr2TcNi, with properties calculated at the PBE level.

Cell: 3.6809 3.6809 7.2276 Å, 90.00 90.00 90.00°
Last column: nearest neighbours and their distance in Å.
Space group I-4m2 (No. 119)
Inequivalent atoms, fractional coordinates:
Cr  0.0000  0.0000  0.0000  4 Cr 2.58, 4 Ni 2.58, 4 Tc 2.60
Cr  0.0000  0.5000  0.2500  4 Cr 2.58, 4 Tc 2.58, 4 Ni 2.60
Tc  0.0000  0.0000  0.5000  8 Cr 2.58-2.60, 4 Ni 2.58
Ni  0.0000  0.5000  0.7500  8 Cr 2.58-2.60, 4 Tc 2.58

Values from the calculation:
N(E_F): 9.4 states/eV/cell
Formation energy: 107 meV per atom
Calculated total energy: -8.742 eV per atom
Total moment: 0.634 Bohr magnetons per cell

---

Below is an optimized crystal structure of Nd4CuCBr2, with properties calculated at the PBE level.

Cell: 7.1398 3.9339 7.7106 Å, 90.00 106.82 90.00°
Last column: nearest neighbours and their distance in Å.
Space group P2/m (No. 10)
Inequivalent atoms, fractional coordinates:
Nd  0.2037  0.0000  0.1895  2 C 2.62, 1 Cu 2.90
Nd  0.2422  0.5000  0.8005  1 C 2.63, 2 Cu 2.83
Cu  0.5000  0.0000  0.0000  6 Nd 2.83-2.90
C  0.0000  0.5000  0.0000  6 Nd 2.62-2.63
Br  0.0000  0.0000  0.5000  6 Nd 3.14-3.15
Br  0.5000  0.5000  0.5000  6 Nd 3.34-3.35

Values from the calculation:
N(E_F): 6.9 states/eV/cell
Calculated total energy: -5.174 eV per atom
Total moment: 0.000 Bohr magnetons per cell

---

Below is an optimized crystal structure of Pm6Er8Th, with properties calculated at the PBE level.

Cell: 9.0563 9.0563 20.7614 Å, 90.00 90.00 120.00°
Last column: nearest neighbours and their distance in Å.
Space group R-3 (No. 148, hexagonal axes)
Inequivalent atoms, fractional coordinates:
Pm  0.0608  0.2480  0.2106  4 Er 3.38-3.65, 1 Th 3.46, 2 Pm 3.51
Er  0.0000  0.0000  0.0770  4 Er 3.20-3.41, 3 Pm 3.44
Er  0.0813  0.5600  0.3057  3 Pm 3.38-3.65, 5 Er 3.41-3.45, 1 Th 3.50
Th  0.0000  0.0000  0.5000  6 Pm 3.46, 6 Er 3.50

Values from the calculation:
N(E_F): 69.1 states/eV/cell
Formation energy: 123 meV per atom
Calculated total energy: -4.705 eV per atom
Total moment: 0.000 Bohr magnetons per cell

---

Below is an optimized crystal structure of MgAl2Rh, with properties calculated at the PBE level.

Cell: 2.9999 2.9999 25.8837 Å, 90.00 90.00 120.00°
Last column: nearest neighbours and their distance in Å.
Space group R-3m (No. 166, hexagonal axes)
Inequivalent atoms, fractional coordinates:
Mg  0.0000  0.0000  0.0000  6 Al 2.99, 6 Mg 3.00
Al  0.0000  0.0000  0.2392  3 Rh 2.55
Rh  0.0000  0.0000  0.5000  6 Al 2.55

Values from the calculation:
N(E_F): 3.2 states/eV/cell
Formation energy: -357 meV per atom
Calculated total energy: -4.465 eV per atom
Total moment: 0.000 Bohr magnetons per cell

---

- Among the records above, which one has the lowest calculated total energy?
  Cr2TcNi

---

- Which value of N(E_F) does entry 3 give?
  9.4 states/eV/cell

---

- Which value of total moment does entry 6 give?
  0.000 Bohr magnetons per cell

---

- Among the records above, which one has the highest calculated total energy?
  MgAl2Rh